Entry A
InTcAs | PBE | relaxed

The space group is C2/m (No. 12) and the conventional cell measures 8.8300, 3.1180 and 9.1757 Å, with angles of 90.00, 102.31 and 90.00 degrees. The asymmetric unit holds In at (0.0982, 0.0000, 0.3904), Tc at (0.1019, 0.5000, 0.1313) and As at (0.1816, 0.5000, 0.8711).

Its crystal system is monoclinic.

Entry B
InTcAs | PBE | relaxed

The space group is P3m1 (No. 156) and the conventional cell measures 3.1940, 3.1940 and 6.3851 Å, with angles of 90.00, 90.00 and 120.00 degrees. The asymmetric unit holds In at (0.0000, 0.0000, 0.0000), Tc at (0.6667, 0.3333, 0.3416) and As at (0.3333, 0.6667, 0.5986).

Its crystal system is trigonal.

Entry C
InTcAs | PBE | relaxed

The space group is C2/m (No. 12) and the conventional cell measures 11.8388, 3.1732 and 6.6999 Å, with angles of 90.00, 112.18 and 90.00 degrees. The asymmetric unit holds In at (0.0786, 0.0000, 0.2649), Tc at (0.1419, 0.5000, 0.9726) and As at (0.1662, 0.0000, 0.7054).

Its crystal system is monoclinic.

Tell me which of them is the least stable. Sure, it is entry A.

Entry A
InTcAs | PBE | relaxed

The space group is P-6m2 (No. 187) and the conventional cell measures 4.2636, 4.2636 and 3.5560 Å, with angles of 90.00, 90.00 and 120.00 degrees. The asymmetric unit holds In at (0.0000, 0.0000, 0.0000), Tc at (0.3333, 0.6667, 0.5000) and As at (0.6667, 0.3333, 0.5000).

Its crystal system is hexagonal.

Entry B
InTcAs | PBE | relaxed

The space group is F-43m (No. 216) and the conventional cell measures 6.2369, 6.2369 and 6.2369 Å, with angles of 90.00, 90.00 and 90.00 degrees. The asymmetric unit holds In at (0.0000, 0.0000, 0.0000), Tc at (0.2500, 0.2500, 0.2500) and As at (0.0000, 0.0000, 0.5000).

Its crystal system is cubic.

Entry C
InTcAs | PBE | relaxed

The space group is I4mm (No. 107) and the conventional cell measures 3.2264, 3.2264 and 10.4394 Å, with angles of 90.00, 90.00 and 90.00 degrees. The asymmetric unit holds In at (0.0000, 0.0000, 0.0000), Tc at (0.0000, 0.0000, 0.3168) and As at (0.0000, 0.0000, 0.7079).

Its crystal system is tetragonal.

Tell me which of them is the least stable. Sure, it is entry B.

Entry A
In3TeAs | PBE | relaxed

The space group is Pm-3m (No. 221) and the conventional cell measures 5.4730, 5.4730 and 5.4730 Å, with angles of 90.00, 90.00 and 90.00 degrees. The asymmetric unit holds In at (0.0000, 0.0000, 0.5000), Te at (0.5000, 0.5000, 0.5000) and As at (0.0000, 0.0000, 0.0000).

Its crystal system is cubic.

Entry B
In3TeAs | PBE | relaxed

The space group is Pm-3m (No. 221) and the conventional cell measures 5.7704, 5.7704 and 5.7704 Å, with angles of 90.00, 90.00 and 90.00 degrees. The asymmetric unit holds In at (0.0000, 0.0000, 0.5000), Te at (0.0000, 0.0000, 0.0000) and As at (0.5000, 0.5000, 0.5000).

Its crystal system is cubic.

Tell me which of them is the least stable. Sure, it is entry B.

Entry A
Ti2InAs | PBE | relaxed

The space group is R-3m (No. 166, hexagonal axes) and the conventional cell measures 3.4982, 3.4982 and 22.0284 Å, with angles of 90.00, 90.00 and 120.00 degrees. The asymmetric unit holds Ti at (0.0000, 0.0000, 0.2334), In at (0.0000, 0.0000, 0.0000) and As at (0.0000, 0.0000, 0.5000).

Its crystal system is trigonal.

Entry B
Ti2InAs | PBE | relaxed

The space group is Fm-3m (No. 225) and the conventional cell measures 6.5959, 6.5959 and 6.5959 Å, with angles of 90.00, 90.00 and 90.00 degrees. The asymmetric unit holds Ti at (0.2500, 0.2500, 0.2500), In at (0.0000, 0.0000, 0.0000) and As at (0.0000, 0.0000, 0.5000).

Its crystal system is cubic.

Tell me which of them is the least stable. Sure, it is entry B.

Entry A
Ti2InAs | PBE | relaxed

The space group is I-42d (No. 122) and the conventional cell measures 7.2546, 7.2546 and 5.8592 Å, with angles of 90.00, 90.00 and 90.00 degrees. The asymmetric unit holds Ti at (0.2204, 0.2500, 0.1250), In at (0.0000, 0.0000, 0.5000) and As at (0.0000, 0.0000, 0.0000).

Its crystal system is tetragonal.

Entry B
Ti2InAs | PBE | relaxed

The space group is R3m (No. 160, hexagonal axes) and the conventional cell measures 3.4794, 3.4794 and 22.2931 Å, with angles of 90.00, 90.00 and 120.00 degrees. The asymmetric unit holds Ti at (0.0000, 0.0000, 0.0000), Ti at (0.0000, 0.0000, 0.2006), In at (0.0000, 0.0000, 0.7677) and As at (0.0000, 0.0000, 0.5998).

Its crystal system is trigonal.

Tell me which of them is the least stable. Sure, it is entry A.

Entry A
TlIn2As2 | PBE | relaxed

The space group is P4/mbm (No. 127) and the conventional cell measures 8.2270, 8.2270 and 3.6846 Å, with angles of 90.00, 90.00 and 90.00 degrees. The asymmetric unit holds Tl at (0.0000, 0.0000, 0.0000), In at (0.1453, 0.3547, 0.5000) and As at (0.1540, 0.6540, 0.0000).

Its crystal system is tetragonal.

Entry B
TlIn2As2 | PBE | relaxed

The space group is I4/mmm (No. 139) and the conventional cell measures 5.1136, 5.1136 and 10.4299 Å, with angles of 90.00, 90.00 and 90.00 degrees. The asymmetric unit holds Tl at (0.0000, 0.0000, 0.0000), In at (0.0000, 0.0000, 0.3633) and As at (0.0000, 0.5000, 0.2500).

Its crystal system is tetragonal.

Tell me which of them is the least stable. Sure, it is entry A.

Entry A
TlIn3As | PBE | relaxed

The space group is Pm-3m (No. 221) and the conventional cell measures 5.6204, 5.6204 and 5.6204 Å, with angles of 90.00, 90.00 and 90.00 degrees. The asymmetric unit holds Tl at (0.0000, 0.0000, 0.0000), In at (0.0000, 0.0000, 0.5000) and As at (0.5000, 0.5000, 0.5000).

Its crystal system is cubic.

Entry B
TlIn3As | PBE | relaxed

The space group is Pm-3m (No. 221) and the conventional cell measures 5.4542, 5.4542 and 5.4542 Å, with angles of 90.00, 90.00 and 90.00 degrees. The asymmetric unit holds Tl at (0.0000, 0.0000, 0.0000), In at (0.0000, 0.5000, 0.5000) and As at (0.5000, 0.5000, 0.5000).

Its crystal system is cubic.

Tell me which of them is the least stable. Sure, it is entry A.

Entry A
V2InAs | PBE | relaxed

The space group is I-42d (No. 122) and the conventional cell measures 7.0636, 7.0636 and 5.6548 Å, with angles of 90.00, 90.00 and 90.00 degrees. The asymmetric unit holds V at (0.2100, 0.2500, 0.1250), In at (0.0000, 0.0000, 0.5000) and As at (0.0000, 0.0000, 0.0000).

Its crystal system is tetragonal.

Entry B
V2InAs | PBE | relaxed

The space group is Fm-3m (No. 225) and the conventional cell measures 6.3593, 6.3593 and 6.3593 Å, with angles of 90.00, 90.00 and 90.00 degrees. The asymmetric unit holds V at (0.2500, 0.2500, 0.2500), In at (0.0000, 0.0000, 0.0000) and As at (0.0000, 0.0000, 0.5000).

Its crystal system is cubic.

Entry C
V2InAs | PBE | relaxed

The space group is R-3m (No. 166, hexagonal axes) and the conventional cell measures 4.2889, 4.2889 and 14.2903 Å, with angles of 90.00, 90.00 and 120.00 degrees. The asymmetric unit holds V at (0.0000, 0.0000, 0.1902), In at (0.0000, 0.0000, 0.0000) and As at (0.0000, 0.0000, 0.5000).

Its crystal system is trigonal.

Tell me which of them is the least stable. Sure, it is entry A.

Entry A
In3AsW | PBE | relaxed

The space group is Pm-3m (No. 221) and the conventional cell measures 5.3340, 5.3340 and 5.3340 Å, with angles of 90.00, 90.00 and 90.00 degrees. The asymmetric unit holds In at (0.0000, 0.0000, 0.5000), As at (0.5000, 0.5000, 0.5000) and W at (0.0000, 0.0000, 0.0000).

Its crystal system is cubic.

Entry B
In3AsW | PBE | relaxed

The space group is Pm-3m (No. 221) and the conventional cell measures 5.2975, 5.2975 and 5.2975 Å, with angles of 90.00, 90.00 and 90.00 degrees. The asymmetric unit holds In at (0.0000, 0.0000, 0.5000), As at (0.0000, 0.0000, 0.0000) and W at (0.5000, 0.5000, 0.5000).

Its crystal system is cubic.

Tell me which of them is the least stable. Sure, it is entry B.

Entry A
InAsW3 | PBE | relaxed

The space group is Pm-3m (No. 221) and the conventional cell measures 4.6396, 4.6396 and 4.6396 Å, with angles of 90.00, 90.00 and 90.00 degrees. The asymmetric unit holds In at (0.0000, 0.0000, 0.0000), As at (0.5000, 0.5000, 0.5000) and W at (0.0000, 0.5000, 0.5000).

Its crystal system is cubic.

Entry B
InAsW3 | PBE | relaxed

The space group is Pm-3m (No. 221) and the conventional cell measures 4.8974, 4.8974 and 4.8974 Å, with angles of 90.00, 90.00 and 90.00 degrees. The asymmetric unit holds In at (0.0000, 0.0000, 0.0000), As at (0.5000, 0.5000, 0.5000) and W at (0.0000, 0.0000, 0.5000).

Its crystal system is cubic.

Tell me which of them is the least stable. Sure, it is entry B.

Entry A
Y2In2As | PBE | relaxed

The space group is P4/mbm (No. 127) and the conventional cell measures 7.5959, 7.5959 and 4.5535 Å, with angles of 90.00, 90.00 and 90.00 degrees. The asymmetric unit holds Y at (0.1673, 0.3327, 0.0000), In at (0.1358, 0.6358, 0.5000) and As at (0.0000, 0.0000, 0.5000).

Its crystal system is tetragonal.

Entry B
Y2In2As | PBE | relaxed

The space group is P4/mbm (No. 127) and the conventional cell measures 7.5333, 7.5333 and 4.9184 Å, with angles of 90.00, 90.00 and 90.00 degrees. The asymmetric unit holds Y at (0.1673, 0.3327, 0.0000), In at (0.1409, 0.6409, 0.5000) and As at (0.0000, 0.0000, 0.0000).

Its crystal system is tetragonal.

Tell me which of them is the least stable. Sure, it is entry A.

Entry A
ZnIn3As | PBE | relaxed

The space group is Pm-3m (No. 221) and the conventional cell measures 5.1573, 5.1573 and 5.1573 Å, with angles of 90.00, 90.00 and 90.00 degrees. The asymmetric unit holds Zn at (0.0000, 0.0000, 0.0000), In at (0.0000, 0.0000, 0.5000) and As at (0.5000, 0.5000, 0.5000).

Its crystal system is cubic.

Entry B
ZnIn3As | PBE | relaxed

The space group is Pm-3m (No. 221) and the conventional cell measures 5.4369, 5.4369 and 5.4369 Å, with angles of 90.00, 90.00 and 90.00 degrees. The asymmetric unit holds Zn at (0.0000, 0.0000, 0.0000), In at (0.0000, 0.5000, 0.5000) and As at (0.5000, 0.5000, 0.5000).

Its crystal system is cubic.

Tell me which of them is the least stable. Sure, it is entry B.